The following is a PBE calculation of a relaxed structure of Nd3DyTh2, from Alexandria.

The structure in CIF format:
```
data_Nd3DyTh2
_chemical_formula_sum 'Nd6 Dy2 Th4'
_symmetry_space_group_name_H-M 'C m m m'
_symmetry_Int_Tables_number 65
_symmetry_space_group_name_Hall '-C 2 2'
_cell_length_a 5.116
_cell_length_b 15.286
_cell_length_c 5.152
_cell_angle_alpha 90.00
_cell_angle_beta 90.00
_cell_angle_gamma 90.00
loop_
_atom_site_label
_atom_site_fract_x
_atom_site_fract_y
_atom_site_fract_z
Nd1 0.000 0.000 0.000
Nd2 0.000 0.169 0.500
Dy1 0.000 0.500 0.500
Th1 0.000 0.332 0.000
```

- ΔH_f (0 K): 0.067 eV per atom
- D(E_F): 16.86 states/eV per cell
- VASP energy: -5.56 eV per atom
- Polymorph energy (0 for the lowest one): 0.023 eV per atom